Computed, not measured: a relaxed structure of SrNi2As at the PBE level of DFT.

Cell lengths 4.0981, 4.0981, 5.8223 Å; angles 69.37, 69.37, 59.98 degrees
Sites, in units of the cell vectors:
Ni: 0.6924 0.6924 0.9235
As: 0.3031 0.3031 0.0907
Sr: 0.4977 0.4977 0.5060
Ni: 0.0069 0.0069 0.9798

calculated volume	77.3	Å³/f.u.
spin magnetization	0.00	μB per cell
formation energy from the elements	-0.48	eV per atom
calculated density	6.01	Mg/m³


Computed, not measured: a relaxed structure of Sr2NiAs at the PBE level of DFT.

Cell lengths 4.3465, 4.5620, 5.9739 Å; angles 67.57, 90.00, 90.00 degrees
Sites, in units of the cell vectors:
As: 0.0000 0.6759 0.5230
Sr: 0.5000 0.2629 0.3493
Ni: 0.5000 0.5804 0.7149
Sr: 0.0000 0.9808 0.9128

calculated volume	109.5	Å³/f.u.
spin magnetization	0.00	μB per cell
formation energy from the elements	-0.58	eV per atom
calculated density	4.68	Mg/m³


Computed, not measured: a relaxed structure of SrNi2As at the PBE level of DFT.

Cell lengths 5.1390, 5.2126, 3.3530 Å; angles 72.40, 87.77, 118.71 degrees
Sites, in units of the cell vectors:
Ni: 0.5000 0.0000 0.5000
Ni: 0.0000 0.0000 0.0000
Sr: 0.0000 0.5000 0.5000
As: 0.5000 0.5000 0.0000

calculated volume	73.2	Å³/f.u.
spin magnetization	0.00	μB per cell
formation energy from the elements	0.28	eV per atom
calculated density	6.35	Mg/m³


Computed, not measured: a relaxed structure of SrNi2As at the PBE level of DFT.

Cell lengths 3.2289, 3.2289, 6.8656 Å; angles 90.00, 90.00, 90.00 degrees
Sites, in units of the cell vectors:
As: 0.5000 0.5000 0.7500
Sr: 0.5000 0.5000 0.2500
Ni: 0.0000 0.0000 0.5724
Ni: 0.0000 0.0000 0.9276

calculated volume	71.6	Å³/f.u.
spin magnetization	0.00	μB per cell
formation energy from the elements	0.05	eV per atom
calculated density	6.49	Mg/m³


Computed, not measured: a relaxed structure of Sr2NiAs at the PBE level of DFT.

Cell lengths 3.7697, 3.7544, 8.3637 Å; angles 63.31, 90.00, 90.00 degrees
Sites, in units of the cell vectors:
As: 0.5000 0.2500 0.2500
Sr: 0.0000 0.5015 0.4984
Ni: 0.5000 0.7500 0.7500
Sr: 0.0000 0.9985 0.0016

calculated volume	105.8	Å³/f.u.
spin magnetization	0.41	μB per cell
formation energy from the elements	-0.32	eV per atom
calculated density	4.85	Mg/m³


Computed, not measured: a relaxed structure of SrNi9As4 at the PBE level of DFT.

Cell lengths 7.9989, 7.9989, 8.2259 Å; angles 119.09, 119.08, 90.00 degrees
Sites, in units of the cell vectors:
Ni: 0.2035 0.9277 0.0000
Ni: 0.1913 0.6913 0.6342
Sr: 0.2500 0.2500 0.5000
As: 0.5479 0.7049 0.7528
As: 0.4521 0.2951 0.2472
Ni: 0.2965 0.4277 0.0000
Ni: 0.8087 0.3087 0.3658
Ni: 0.6913 0.4428 0.6342
Ni: 0.0723 0.2036 0.0000
As: 0.2951 0.7950 0.2472
Ni: 0.0572 0.8087 0.3658
As: 0.9521 0.4521 0.2472
Ni: 0.5000 0.0000 0.0000
Ni: 0.3087 0.5572 0.3658
Ni: 0.5723 0.2965 0.0001
As: 0.2049 0.0479 0.7528
Ni: 0.4428 0.9428 0.6342
Ni: 0.0000 0.5000 0.0000
Ni: 0.9428 0.1913 0.6342
Ni: 0.5572 0.0572 0.3658
Ni: 0.7035 0.5723 0.0000
Ni: 0.9277 0.7964 0.9999
Ni: 0.7965 0.0723 0.0000
As: 0.7049 0.2050 0.7528
As: 0.7951 0.9521 0.2472
Ni: 0.4277 0.7035 0.9999
As: 0.0479 0.5479 0.7528
Sr: 0.7500 0.7500 0.5000

calculated volume	191.1	Å³/f.u.
spin magnetization	0.00	μB per cell
formation energy from the elements	-0.31	eV per atom
calculated density	7.96	Mg/m³


Computed, not measured: a relaxed structure of SrNi2As at the PBE level of DFT.

Cell lengths 4.2158, 4.4936, 4.5667 Å; angles 89.98, 90.00, 90.00 degrees
Sites, in units of the cell vectors:
Sr: 0.0000 0.4624 0.5000
Ni: 0.5000 0.2825 0.0001
As: 0.5000 0.7792 0.9998
Ni: 0.0000 0.9759 0.0001

calculated volume	86.5	Å³/f.u.
spin magnetization	0.00	μB per cell
formation energy from the elements	-0.36	eV per atom
calculated density	5.37	Mg/m³


Computed, not measured: a relaxed structure of SrNi2As at the PBE level of DFT.

Cell lengths 4.3492, 4.3500, 3.7211 Å; angles 90.00, 90.00, 90.00 degrees
Sites, in units of the cell vectors:
Sr: 0.5000 0.0000 0.5000
Ni: 0.0000 0.0000 0.0000
Ni: 0.5000 0.5000 0.0000
As: 0.0000 0.5000 0.5000

calculated volume	70.4	Å³/f.u.
spin magnetization	0.00	μB per cell
formation energy from the elements	0.12	eV per atom
calculated density	6.60	Mg/m³


Computed, not measured: a relaxed structure of Sr2NiAs at the PBE level of DFT.

Cell lengths 5.1501, 5.1501, 5.1501 Å; angles 60.00, 60.00, 60.00 degrees
Sites, in units of the cell vectors:
Sr: 0.0000 0.0000 0.0000
As: 0.5000 0.5000 0.5000
Sr: 0.2500 0.2500 0.2500
Ni: 0.7500 0.7500 0.7500

calculated volume	96.6	Å³/f.u.
spin magnetization	0.00	μB per cell
formation energy from the elements	0.00	eV per atom
calculated density	5.31	Mg/m³


Computed, not measured: a relaxed structure of SrTaNiAs2 at the PBE level of DFT.

Cell lengths 4.8624, 4.7190, 4.8624 Å; angles 90.00, 90.00, 90.00 degrees
Sites, in units of the cell vectors:
Sr: 0.5000 0.5000 0.5000
Ni: 0.0000 0.0000 0.0000
Ta: 0.0000 0.5000 0.0000
As: 0.0000 0.0000 0.5000
As: 0.5000 0.0000 0.0000

calculated volume	111.6	Å³/f.u.
spin magnetization	1.41	μB per cell
formation energy from the elements	0.35	eV per atom
calculated density	7.10	Mg/m³


Computed, not measured: a relaxed structure of SrTbNi2As2 at the PBE level of DFT.

Cell lengths 4.0873, 4.0873, 8.3845 Å; angles 90.00, 90.00, 120.00 degrees
Sites, in units of the cell vectors:
Ni: 0.3333 0.6667 0.7243
As: 0.6667 0.3333 0.7324
Sr: 0.0000 0.0000 0.0000
As: 0.3333 0.6667 0.2676
Tb: 0.0000 0.0000 0.5000
Ni: 0.6667 0.3333 0.2757

calculated volume	121.3	Å³/f.u.
spin magnetization	0.00	μB per cell
formation energy from the elements	-0.94	eV per atom
calculated density	7.03	Mg/m³


Computed, not measured: a relaxed structure of SrTcNiAs2 at the PBE level of DFT.

Cell lengths 4.0023, 4.0023, 6.8218 Å; angles 107.06, 107.06, 90.00 degrees
Sites, in units of the cell vectors:
As: 0.6394 0.6394 0.2788
Ni: 0.2500 0.7500 0.5000
Sr: 0.0000 0.0000 0.0000
As: 0.3606 0.3606 0.7212
Tc: 0.7500 0.2500 0.5000

calculated volume	99.4	Å³/f.u.
spin magnetization	0.00	μB per cell
formation energy from the elements	-0.61	eV per atom
calculated density	6.58	Mg/m³


Computed, not measured: a relaxed structure of Sr2NiTeAs at the PBE level of DFT.

Cell lengths 5.9012, 5.9012, 4.2857 Å; angles 90.00, 90.00, 90.00 degrees
Sites, in units of the cell vectors:
Sr: 0.0000 0.5000 0.0000
Te: 0.5000 0.5000 0.5000
Ni: 0.0000 0.0000 0.0000
Sr: 0.5000 0.0000 0.0000
As: 0.0000 0.0000 0.5000

calculated volume	149.2	Å³/f.u.
formation energy without anion corrections	-0.878	eV per atom
spin magnetization	0.00	μB per cell
calculated density	4.86	Mg/m³


Computed, not measured: a relaxed structure of Sr2NiTeAs at the PBE level of DFT.

Cell lengths 5.8424, 4.5238, 5.8424 Å; angles 90.00, 90.00, 90.00 degrees
Sites, in units of the cell vectors:
Ni: 0.0000 0.0000 0.0000
Sr: 0.5000 0.0000 0.0000
Te: 0.0000 0.5000 0.0000
Sr: 0.0000 0.0000 0.5000
As: 0.5000 0.5000 0.5000

calculated volume	154.4	Å³/f.u.
formation energy without anion corrections	-0.477	eV per atom
spin magnetization	0.00	μB per cell
calculated density	4.69	Mg/m³


Computed, not measured: a relaxed structure of SrThNi2As2 at the PBE level of DFT.

Cell lengths 4.1396, 4.1396, 8.4403 Å; angles 90.00, 90.00, 120.00 degrees
Sites, in units of the cell vectors:
Th: 0.0000 0.0000 0.5000
Sr: 0.0000 0.0000 0.0000
As: 0.3333 0.6667 0.2566
As: 0.6667 0.3333 0.7434
Ni: 0.6667 0.3333 0.2845
Ni: 0.3333 0.6667 0.7155

calculated volume	125.3	Å³/f.u.
spin magnetization	0.00	μB per cell
formation energy from the elements	-0.97	eV per atom
calculated density	7.78	Mg/m³


Computed, not measured: a relaxed structure of SrYNi2As2 at the PBE level of DFT.

Cell lengths 4.0835, 4.0835, 8.3793 Å; angles 90.00, 90.00, 120.00 degrees
Sites, in units of the cell vectors:
As: 0.3333 0.6667 0.2680
Y: 0.0000 0.0000 0.5000
Ni: 0.3333 0.6667 0.7245
As: 0.6667 0.3333 0.7320
Ni: 0.6667 0.3333 0.2755
Sr: 0.0000 0.0000 0.0000

calculated volume	121.0	Å³/f.u.
spin magnetization	0.00	μB per cell
formation energy from the elements	-0.94	eV per atom
calculated density	6.09	Mg/m³


Computed, not measured: a relaxed structure of Sr2ZnNi4As3 at the PBE level of DFT.

Cell lengths 4.2297, 4.2297, 9.7357 Å; angles 90.00, 90.00, 90.00 degrees
Sites, in units of the cell vectors:
As: 0.0000 0.5000 0.1268
Ni: 0.5000 0.5000 0.0000
Ni: 0.5000 0.0000 0.6233
Zn: 0.5000 0.5000 0.5000
As: 0.5000 0.0000 0.8732
Ni: 0.0000 0.0000 0.0000
As: 0.0000 0.0000 0.5000
Ni: 0.0000 0.5000 0.3767
Sr: 0.5000 0.0000 0.2469
Sr: 0.0000 0.5000 0.7531

calculated volume	174.2	Å³/f.u.
spin magnetization	0.00	μB per cell
formation energy from the elements	-0.59	eV per atom
calculated density	6.68	Mg/m³


Computed, not measured: a relaxed structure of SrZnNiAs2 at the PBE level of DFT.

Cell lengths 4.0665, 4.0665, 6.6918 Å; angles 107.69, 107.69, 90.00 degrees
Sites, in units of the cell vectors:
As: 0.3684 0.3684 0.7368
Zn: 0.7500 0.2500 0.5000
Sr: 0.0000 0.0000 0.0000
As: 0.6316 0.6316 0.2632
Ni: 0.2500 0.7500 0.5000

calculated volume	99.9	Å³/f.u.
spin magnetization	0.00	μB per cell
formation energy from the elements	-0.57	eV per atom
calculated density	6.01	Mg/m³


Computed, not measured: a relaxed structure of Ta2NiAs at the PBE level of DFT.

Cell lengths 3.7735, 2.9295, 5.9637 Å; angles 73.58, 90.00, 90.00 degrees
Sites, in units of the cell vectors:
As: 0.5000 0.2500 0.2500
Ta: 0.0000 0.0419 0.9892
Ta: 0.0000 0.4581 0.5108
Ni: 0.5000 0.7500 0.7500

calculated volume	63.2	Å³/f.u.
spin magnetization	0.00	μB per cell
formation energy from the elements	-0.13	eV per atom
calculated density	13.01	Mg/m³


Computed, not measured: a relaxed structure of Ta2NiAs at the PBE level of DFT.

Cell lengths 2.9566, 2.9566, 7.3087 Å; angles 90.00, 90.00, 90.00 degrees
Sites, in units of the cell vectors:
Ta: 0.5000 0.5000 0.2657
As: 0.0000 0.0000 0.5348
Ta: 0.0000 0.0000 0.9656
Ni: 0.5000 0.5000 0.7338

calculated volume	63.9	Å³/f.u.
spin magnetization	0.00	μB per cell
formation energy from the elements	-0.01	eV per atom
calculated density	12.88	Mg/m³